<one>
A relaxed structure of CaPaAu4, computed with PBE.

The structure in CIF format:
```
data_CaPaAu4
_chemical_formula_sum 'Ca4 Pa4 Au16'
_space_group_name_H-M_alt 'F -4 3 m'
_space_group_IT_number 216
_space_group_name_Hall 'F -4 2 3'
_cell_length_a 8.0294
_cell_length_b 8.0294
_cell_length_c 8.0294
_cell_angle_alpha 90.00
_cell_angle_beta 90.00
_cell_angle_gamma 90.00
loop_
_atom_site_label
_atom_site_type_symbol
_atom_site_fract_x
_atom_site_fract_y
_atom_site_fract_z
Ca1 Ca 0.0000 0.0000 0.0000
Pa1 Pa 0.2500 0.2500 0.2500
Au1 Au 0.1253 0.1253 0.6253
```

<two>
A relaxed structure of CaPaAu4, computed with PBE.

The structure in CIF format:
```
data_CaPaAu4
_chemical_formula_sum 'Ca2 Pa2 Au8'
_space_group_name_H-M_alt 'C 1 2/m 1'
_space_group_IT_number 12
_space_group_name_Hall '-C 2y'
_cell_length_a 9.9769
_cell_length_b 3.7042
_cell_length_c 7.7103
_cell_angle_alpha 90.00
_cell_angle_beta 112.42
_cell_angle_gamma 90.00
loop_
_atom_site_label
_atom_site_type_symbol
_atom_site_fract_x
_atom_site_fract_y
_atom_site_fract_z
Ca1 Ca 0.0000 0.0000 0.0000
Pa1 Pa 0.0000 0.0000 0.5000
Au1 Au 0.1633 0.5000 0.3381
Au2 Au 0.1674 0.5000 0.8241
```

Quick one: least stable of them? <one>

<one>
A relaxed structure of CaPbAu3, computed with PBE.

The structure in CIF format:
```
data_CaPbAu3
_chemical_formula_sum 'Ca1 Pb1 Au3'
_space_group_name_H-M_alt 'P m -3 m'
_space_group_IT_number 221
_space_group_name_Hall '-P 4 2 3'
_cell_length_a 5.3619
_cell_length_b 5.3619
_cell_length_c 5.3619
_cell_angle_alpha 90.00
_cell_angle_beta 90.00
_cell_angle_gamma 90.00
loop_
_atom_site_label
_atom_site_type_symbol
_atom_site_fract_x
_atom_site_fract_y
_atom_site_fract_z
Ca1 Ca 0.0000 0.0000 0.0000
Pb1 Pb 0.5000 0.5000 0.5000
Au1 Au 0.0000 0.5000 0.5000
```

<two>
A relaxed structure of CaPbAu3, computed with PBE.

The structure in CIF format:
```
data_CaPbAu3
_chemical_formula_sum 'Ca4 Pb4 Au12'
_space_group_name_H-M_alt 'C m c m'
_space_group_IT_number 63
_space_group_name_Hall '-C 2c 2'
_cell_length_a 3.6319
_cell_length_b 28.4695
_cell_length_c 4.6059
_cell_angle_alpha 90.00
_cell_angle_beta 90.00
_cell_angle_gamma 90.00
loop_
_atom_site_label
_atom_site_type_symbol
_atom_site_fract_x
_atom_site_fract_y
_atom_site_fract_z
Ca1 Ca 0.0000 0.0737 0.2500
Pb1 Pb 0.0000 0.2106 0.7500
Au1 Au 0.0000 0.3212 0.7500
Au2 Au 0.0000 0.3789 0.2500
Au3 Au 0.0000 0.4743 0.2500
```

Quick one: least stable of them? <one>

<one>
A relaxed structure of Ca4PbAu, computed with PBE.

The structure in CIF format:
```
data_Ca4PbAu
_chemical_formula_sum 'Ca16 Pb4 Au4'
_space_group_name_H-M_alt 'F -4 3 m'
_space_group_IT_number 216
_space_group_name_Hall 'F -4 2 3'
_cell_length_a 9.2735
_cell_length_b 9.2735
_cell_length_c 9.2735
_cell_angle_alpha 90.00
_cell_angle_beta 90.00
_cell_angle_gamma 90.00
loop_
_atom_site_label
_atom_site_type_symbol
_atom_site_fract_x
_atom_site_fract_y
_atom_site_fract_z
Ca1 Ca 0.1247 0.1247 0.1247
Pb1 Pb 0.2500 0.2500 0.7500
Au1 Au 0.0000 0.0000 0.5000
```

<two>
A relaxed structure of Ca4PbAu, computed with PBE.

The structure in CIF format:
```
data_Ca4PbAu
_chemical_formula_sum 'Ca8 Pb2 Au2'
_space_group_name_H-M_alt 'C 1 2/m 1'
_space_group_IT_number 12
_space_group_name_Hall '-C 2y'
_cell_length_a 7.3683
_cell_length_b 7.3683
_cell_length_c 7.5900
_cell_angle_alpha 90.00
_cell_angle_beta 90.08
_cell_angle_gamma 90.00
loop_
_atom_site_label
_atom_site_type_symbol
_atom_site_fract_x
_atom_site_fract_y
_atom_site_fract_z
Ca1 Ca 0.2497 0.2498 0.2410
Pb1 Pb 0.0000 0.0000 0.5000
Au1 Au 0.0000 0.5000 0.0000
```

Quick one: least stable of them? <one>

<one>
A relaxed structure of Ca3PbAu, computed with PBE.

The structure in CIF format:
```
data_Ca3PbAu
_chemical_formula_sum 'Ca12 Pb4 Au4'
_space_group_name_H-M_alt 'C m m m'
_space_group_IT_number 65
_space_group_name_Hall '-C 2 2'
_cell_length_a 10.5791
_cell_length_b 15.7161
_cell_length_c 3.9816
_cell_angle_alpha 90.00
_cell_angle_beta 90.00
_cell_angle_gamma 90.00
loop_
_atom_site_label
_atom_site_type_symbol
_atom_site_fract_x
_atom_site_fract_y
_atom_site_fract_z
Ca1 Ca 0.0000 0.1702 0.0000
Ca2 Ca 0.1941 0.3843 0.5000
Pb1 Pb 0.0000 0.0000 0.5000
Pb2 Pb 0.0000 0.5000 0.0000
Au1 Au 0.2500 0.2500 0.0000
```

<two>
A relaxed structure of Ca3PbAu, computed with PBE.

The structure in CIF format:
```
data_Ca3PbAu
_chemical_formula_sum 'Ca3 Pb1 Au1'
_space_group_name_H-M_alt 'P m -3 m'
_space_group_IT_number 221
_space_group_name_Hall '-P 4 2 3'
_cell_length_a 5.6268
_cell_length_b 5.6268
_cell_length_c 5.6268
_cell_angle_alpha 90.00
_cell_angle_beta 90.00
_cell_angle_gamma 90.00
loop_
_atom_site_label
_atom_site_type_symbol
_atom_site_fract_x
_atom_site_fract_y
_atom_site_fract_z
Ca1 Ca 0.0000 0.0000 0.5000
Pb1 Pb 0.5000 0.5000 0.5000
Au1 Au 0.0000 0.0000 0.0000
```

Quick one: least stable of them? <two>

<one>
A relaxed structure of CaPuPbAu, computed with PBE.

The structure in CIF format:
```
data_CaPuPbAu
_chemical_formula_sum 'Ca4 Pu4 Pb4 Au4'
_space_group_name_H-M_alt 'F -4 3 m'
_space_group_IT_number 216
_space_group_name_Hall 'F -4 2 3'
_cell_length_a 7.5480
_cell_length_b 7.5480
_cell_length_c 7.5480
_cell_angle_alpha 90.00
_cell_angle_beta 90.00
_cell_angle_gamma 90.00
loop_
_atom_site_label
_atom_site_type_symbol
_atom_site_fract_x
_atom_site_fract_y
_atom_site_fract_z
Ca1 Ca 0.0000 0.0000 0.0000
Pu1 Pu 0.0000 0.0000 0.5000
Pb1 Pb 0.2500 0.2500 0.7500
Au1 Au 0.2500 0.2500 0.2500
```

<two>
A relaxed structure of CaPuPbAu, computed with PBE.

The structure in CIF format:
```
data_CaPuPbAu
_chemical_formula_sum 'Ca1 Pu1 Pb1 Au1'
_space_group_name_H-M_alt 'P 4 m m'
_space_group_IT_number 99
_space_group_name_Hall 'P 4 -2'
_cell_length_a 3.6093
_cell_length_b 3.6093
_cell_length_c 8.1864
_cell_angle_alpha 90.00
_cell_angle_beta 90.00
_cell_angle_gamma 90.00
loop_
_atom_site_label
_atom_site_type_symbol
_atom_site_fract_x
_atom_site_fract_y
_atom_site_fract_z
Ca1 Ca 0.0000 0.0000 0.0000
Pu1 Pu 0.0000 0.0000 0.4497
Pb1 Pb 0.5000 0.5000 0.7246
Au1 Au 0.5000 0.5000 0.2237
```

Quick one: least stable of them? <one>

<one>
A relaxed structure of Ca3PdAu, computed with PBE.

The structure in CIF format:
```
data_Ca3PdAu
_chemical_formula_sum 'Ca12 Pd4 Au4'
_space_group_name_H-M_alt 'P 1 21/c 1'
_space_group_IT_number 14
_space_group_name_Hall '-P 2ybc'
_cell_length_a 8.9276
_cell_length_b 7.6584
_cell_length_c 8.3038
_cell_angle_alpha 90.00
_cell_angle_beta 102.69
_cell_angle_gamma 90.00
loop_
_atom_site_label
_atom_site_type_symbol
_atom_site_fract_x
_atom_site_fract_y
_atom_site_fract_z
Ca1 Ca 0.0534 0.0016 0.2106
Ca2 Ca 0.2779 0.6431 0.0942
Ca3 Ca 0.3573 0.1894 0.9695
Pd1 Pd 0.0628 0.1752 0.5240
Au1 Au 0.4181 0.5467 0.7896
```

<two>
A relaxed structure of Ca3PdAu, computed with PBE.

The structure in CIF format:
```
data_Ca3PdAu
_chemical_formula_sum 'Ca3 Pd1 Au1'
_space_group_name_H-M_alt 'P m -3 m'
_space_group_IT_number 221
_space_group_name_Hall '-P 4 2 3'
_cell_length_a 5.4418
_cell_length_b 5.4418
_cell_length_c 5.4418
_cell_angle_alpha 90.00
_cell_angle_beta 90.00
_cell_angle_gamma 90.00
loop_
_atom_site_label
_atom_site_type_symbol
_atom_site_fract_x
_atom_site_fract_y
_atom_site_fract_z
Ca1 Ca 0.0000 0.0000 0.5000
Pd1 Pd 0.0000 0.0000 0.0000
Au1 Au 0.5000 0.5000 0.5000
```

Quick one: least stable of them? <two>

<one>
A relaxed structure of Ca4PdAu, computed with PBE.

The structure in CIF format:
```
data_Ca4PdAu
_chemical_formula_sum 'Ca16 Pd4 Au4'
_space_group_name_H-M_alt 'C 1 2/c 1'
_space_group_IT_number 15
_space_group_name_Hall '-C 2yc'
_cell_length_a 9.4369
_cell_length_b 13.6775
_cell_length_c 6.7083
_cell_angle_alpha 90.00
_cell_angle_beta 124.39
_cell_angle_gamma 90.00
loop_
_atom_site_label
_atom_site_type_symbol
_atom_site_fract_x
_atom_site_fract_y
_atom_site_fract_z
Ca1 Ca 0.1240 0.1777 0.0937
Ca2 Ca 0.2004 0.4409 0.2664
Pd1 Pd 0.0000 0.0033 0.2500
Au1 Au 0.0000 0.3644 0.7500
```

<two>
A relaxed structure of Ca4PdAu, computed with PBE.

The structure in CIF format:
```
data_Ca4PdAu
_chemical_formula_sum 'Ca4 Pd1 Au1'
_space_group_name_H-M_alt 'P 4/m m m'
_space_group_IT_number 123
_space_group_name_Hall '-P 4 2'
_cell_length_a 5.0520
_cell_length_b 5.0520
_cell_length_c 7.1603
_cell_angle_alpha 90.00
_cell_angle_beta 90.00
_cell_angle_gamma 90.00
loop_
_atom_site_label
_atom_site_type_symbol
_atom_site_fract_x
_atom_site_fract_y
_atom_site_fract_z
Ca1 Ca 0.0000 0.5000 0.2451
Pd1 Pd 0.0000 0.0000 0.0000
Au1 Au 0.5000 0.5000 0.5000
```

Quick one: least stable of them? <two>

<one>
A relaxed structure of Ca2Pd3Au2, computed with PBE.

The structure in CIF format:
```
data_Ca2Pd3Au2
_chemical_formula_sum 'Ca4 Pd6 Au4'
_space_group_name_H-M_alt 'C 1 2/m 1'
_space_group_IT_number 12
_space_group_name_Hall '-C 2y'
_cell_length_a 9.9416
_cell_length_b 3.9937
_cell_length_c 8.4431
_cell_angle_alpha 90.00
_cell_angle_beta 118.34
_cell_angle_gamma 90.00
loop_
_atom_site_label
_atom_site_type_symbol
_atom_site_fract_x
_atom_site_fract_y
_atom_site_fract_z
Ca1 Ca 0.2018 0.0000 0.2803
Pd1 Pd 0.0000 0.5000 0.0000
Pd2 Pd 0.0151 0.5000 0.3494
Au1 Au 0.1513 0.0000 0.8894
```

<two>
A relaxed structure of Ca2Pd3Au2, computed with PBE.

The structure in CIF format:
```
data_Ca2Pd3Au2
_chemical_formula_sum 'Ca8 Pd12 Au8'
_space_group_name_H-M_alt 'I 21 3'
_space_group_IT_number 199
_space_group_name_Hall 'I 2b 2c 3'
_cell_length_a 8.4202
_cell_length_b 8.4202
_cell_length_c 8.4202
_cell_angle_alpha 90.00
_cell_angle_beta 90.00
_cell_angle_gamma 90.00
loop_
_atom_site_label
_atom_site_type_symbol
_atom_site_fract_x
_atom_site_fract_y
_atom_site_fract_z
Ca1 Ca 0.2504 0.2504 0.2504
Pd1 Pd 0.0000 0.2500 0.0173
Au1 Au 0.0576 0.4424 0.5576
```

Quick one: least stable of them? <one>

<one>
A relaxed structure of CaPdAu6, computed with PBE.

The structure in CIF format:
```
data_CaPdAu6
_chemical_formula_sum 'Ca1 Pd1 Au6'
_space_group_name_H-M_alt 'P m -3'
_space_group_IT_number 200
_space_group_name_Hall '-P 2 2 3'
_cell_length_a 5.3581
_cell_length_b 5.3581
_cell_length_c 5.3581
_cell_angle_alpha 90.00
_cell_angle_beta 90.00
_cell_angle_gamma 90.00
loop_
_atom_site_label
_atom_site_type_symbol
_atom_site_fract_x
_atom_site_fract_y
_atom_site_fract_z
Ca1 Ca 0.0000 0.0000 0.0000
Pd1 Pd 0.5000 0.5000 0.5000
Au1 Au 0.0000 0.2524 0.5000
```

<two>
A relaxed structure of CaPdAu6, computed with PBE.

The structure in CIF format:
```
data_CaPdAu6
_chemical_formula_sum 'Ca1 Pd1 Au6'
_space_group_name_H-M_alt 'P 4/m m m'
_space_group_IT_number 123
_space_group_name_Hall '-P 4 2'
_cell_length_a 5.9832
_cell_length_b 5.9832
_cell_length_c 4.1709
_cell_angle_alpha 90.00
_cell_angle_beta 90.00
_cell_angle_gamma 90.00
loop_
_atom_site_label
_atom_site_type_symbol
_atom_site_fract_x
_atom_site_fract_y
_atom_site_fract_z
Ca1 Ca 0.0000 0.0000 0.0000
Pd1 Pd 0.5000 0.5000 0.0000
Au1 Au 0.0000 0.5000 0.0000
Au2 Au 0.2577 0.2577 0.5000
```

Quick one: least stable of them? <one>

<one>
A relaxed structure of CaPdAu, computed with PBE.

The structure in CIF format:
```
data_CaPdAu
_chemical_formula_sum 'Ca12 Pd12 Au12'
_space_group_name_H-M_alt 'C 1 2/c 1'
_space_group_IT_number 15
_space_group_name_Hall '-C 2yc'
_cell_length_a 18.7946
_cell_length_b 5.4733
_cell_length_c 7.8470
_cell_angle_alpha 90.00
_cell_angle_beta 93.08
_cell_angle_gamma 90.00
loop_
_atom_site_label
_atom_site_type_symbol
_atom_site_fract_x
_atom_site_fract_y
_atom_site_fract_z
Ca1 Ca 0.0000 0.0667 0.2500
Ca2 Ca 0.1516 0.3582 0.6476
Pd1 Pd 0.1048 0.1653 0.9915
Pd2 Pd 0.2500 0.2500 0.0000
Au1 Au 0.0000 0.5000 0.0000
Au2 Au 0.1858 0.1325 0.3003
```

<two>
A relaxed structure of CaPdAu, computed with PBE.

The structure in CIF format:
```
data_CaPdAu
_chemical_formula_sum 'Ca4 Pd4 Au4'
_space_group_name_H-M_alt 'F -4 3 m'
_space_group_IT_number 216
_space_group_name_Hall 'F -4 2 3'
_cell_length_a 6.5658
_cell_length_b 6.5658
_cell_length_c 6.5658
_cell_angle_alpha 90.00
_cell_angle_beta 90.00
_cell_angle_gamma 90.00
loop_
_atom_site_label
_atom_site_type_symbol
_atom_site_fract_x
_atom_site_fract_y
_atom_site_fract_z
Ca1 Ca 0.0000 0.0000 0.0000
Pd1 Pd 0.2500 0.2500 0.7500
Au1 Au 0.0000 0.0000 0.5000
```

Quick one: least stable of them? <two>

<one>
A relaxed structure of CaPdAu, computed with PBE.

The structure in CIF format:
```
data_CaPdAu
_chemical_formula_sum 'Ca1 Pd1 Au1'
_space_group_name_H-M_alt 'P -6 m 2'
_space_group_IT_number 187
_space_group_name_Hall 'P -6 2'
_cell_length_a 4.6455
_cell_length_b 4.6455
_cell_length_c 3.5203
_cell_angle_alpha 90.00
_cell_angle_beta 90.00
_cell_angle_gamma 120.00
loop_
_atom_site_label
_atom_site_type_symbol
_atom_site_fract_x
_atom_site_fract_y
_atom_site_fract_z
Ca1 Ca 0.0000 0.0000 0.0000
Pd1 Pd 0.6667 0.3333 0.5000
Au1 Au 0.3333 0.6667 0.5000
```

<two>
A relaxed structure of CaPdAu, computed with PBE.

The structure in CIF format:
```
data_CaPdAu
_chemical_formula_sum 'Ca4 Pd4 Au4'
_space_group_name_H-M_alt 'I m m a'
_space_group_IT_number 74
_space_group_name_Hall '-I 2b 2'
_cell_length_a 5.5982
_cell_length_b 5.6081
_cell_length_c 7.8270
_cell_angle_alpha 90.00
_cell_angle_beta 90.00
_cell_angle_gamma 90.00
loop_
_atom_site_label
_atom_site_type_symbol
_atom_site_fract_x
_atom_site_fract_y
_atom_site_fract_z
Ca1 Ca 0.0000 0.2500 0.1277
Pd1 Pd 0.0000 0.0000 0.5000
Au1 Au 0.2500 0.2500 0.7500
```

<three>
A relaxed structure of CaPdAu, computed with PBE.

The structure in CIF format:
```
data_CaPdAu
_chemical_formula_sum 'Ca2 Pd2 Au2'
_space_group_name_H-M_alt 'I 4 m m'
_space_group_IT_number 107
_space_group_name_Hall 'I 4 -2'
_cell_length_a 3.6588
_cell_length_b 3.6588
_cell_length_c 9.2565
_cell_angle_alpha 90.00
_cell_angle_beta 90.00
_cell_angle_gamma 90.00
loop_
_atom_site_label
_atom_site_type_symbol
_atom_site_fract_x
_atom_site_fract_y
_atom_site_fract_z
Ca1 Ca 0.0000 0.0000 0.0000
Pd1 Pd 0.0000 0.0000 0.6722
Au1 Au 0.0000 0.0000 0.3251
```

Quick one: least stable of them? <three>